# Ba4TlZn | Alexandria via LeMat-Bulk | GGA-PBE | optimized geometry
# Energy above the lowest structure with this stoichiometry ... 0 meV per atom
# Spin magnetization ... 0.0 μB/cell
# Crystal system ... tetragonal
# E_form ... -221 meV per atom
data_Ba4TlZn
_cell_length_a 4.251
_cell_length_b 4.251
_cell_length_c 15.305
_cell_angle_alpha 90.00
_cell_angle_beta 90.00
_cell_angle_gamma 90.00
_symmetry_space_group_name_H-M 'P 4/m m m'
_symmetry_Int_Tables_number 123
_symmetry_space_group_name_Hall '-P 4 2'
loop_
_atom_site_label
_atom_site_type_symbol
_atom_site_fract_x
_atom_site_fract_y
_atom_site_fract_z
_atom_site_occupancy
Ba1 Ba 0.000 0.000 0.126 1
Ba2 Ba 0.500 0.500 0.365 1
Tl1 Tl 0.000 0.000 0.500 1
Zn1 Zn 0.500 0.500 0.000 1

=====

# Ba2TlZn2 | Alexandria via LeMat-Bulk | GGA-PBE | optimized geometry
# Energy above the lowest structure with this stoichiometry ... 9 meV per atom
# Spin magnetization ... 0.0 μB/cell
# Crystal system ... monoclinic
# E_form ... -225 meV per atom
data_Ba2TlZn2
_cell_length_a 12.086
_cell_length_b 5.129
_cell_length_c 12.200
_cell_angle_alpha 90.00
_cell_angle_beta 118.53
_cell_angle_gamma 90.00
_symmetry_space_group_name_H-M 'C 1 2/m 1'
_symmetry_Int_Tables_number 12
loop_
_symmetry_equiv_pos_as_xyz
'x,y,z'
'-x,-y,-z'
'-x,y,-z'
'x,-y,z'
'x+1/2,y+1/2,z'
'-x+1/2,-y+1/2,-z'
'-x+1/2,y+1/2,-z'
'x+1/2,-y+1/2,z'
loop_
_atom_site_label
_atom_site_type_symbol
_atom_site_fract_x
_atom_site_fract_y
_atom_site_fract_z
_atom_site_occupancy
Ba1 Ba 0.021 0.000 0.336 1
Ba2 Ba 0.206 0.000 0.117 1
Tl1 Tl 0.229 0.500 0.354 1
Zn1 Zn 0.005 0.500 0.897 1
Zn2 Zn 0.127 0.500 0.553 1

=====

# Ba6Tl5Zn | Alexandria via LeMat-Bulk | GGA-PBE | optimized geometry
# Spin magnetization ... 0.0 μB/cell
# Crystal system ... orthorhombic
# E_form ... -363 meV per atom
data_Ba6Tl5Zn
_cell_length_a 6.021
_cell_length_b 18.105
_cell_length_c 8.571
_cell_angle_alpha 90.00
_cell_angle_beta 90.00
_cell_angle_gamma 90.00
_symmetry_space_group_name_H-M 'C m m m'
_symmetry_Int_Tables_number 65
_symmetry_space_group_name_Hall '-C 2 2'
loop_
_atom_site_label
_atom_site_type_symbol
_atom_site_fract_x
_atom_site_fract_y
_atom_site_fract_z
_atom_site_occupancy
Ba1 Ba 0.000 0.000 0.243 1
Ba2 Ba 0.000 0.336 0.248 1
Tl1 Tl 0.000 0.166 0.500 1
Tl2 Tl 0.000 0.171 0.000 1
Tl3 Tl 0.000 0.500 0.500 1
Zn1 Zn 0.000 0.500 0.000 1

=====

# Ba8TlZn2 | Alexandria via LeMat-Bulk | GGA-PBE | optimized geometry
# Energy above the lowest structure with this stoichiometry ... 40 meV per atom
# Spin magnetization ... 0.0 μB/cell
# Crystal system ... monoclinic
# E_form ... -71 meV per atom
data_Ba8TlZn2
_cell_length_a 10.750
_cell_length_b 15.648
_cell_length_c 6.459
_cell_angle_alpha 90.00
_cell_angle_beta 105.26
_cell_angle_gamma 90.00
_symmetry_space_group_name_H-M 'C 1 m 1'
_symmetry_Int_Tables_number 8
loop_
_symmetry_equiv_pos_as_xyz
'x,y,z'
'x,-y,z'
'x+1/2,y+1/2,z'
'x+1/2,-y+1/2,z'
loop_
_atom_site_label
_atom_site_type_symbol
_atom_site_fract_x
_atom_site_fract_y
_atom_site_fract_z
_atom_site_occupancy
Ba1 Ba 0.000 0.000 0.000 1
Ba2 Ba 0.056 0.370 0.775 1
Ba3 Ba 0.172 0.130 0.607 1
Ba4 Ba 0.234 0.500 0.382 1
Ba5 Ba 0.365 0.239 0.190 1
Tl1 Tl 0.368 0.000 0.171 1
Zn1 Zn 0.365 0.317 0.692 1

=====

# BaTlZn2 | Alexandria via LeMat-Bulk | GGA-PBE | optimized geometry
# Spin magnetization ... 0.0 μB/cell
# Crystal system ... tetragonal
# E_form ... -58 meV per atom
data_BaTlZn2
_cell_length_a 3.680
_cell_length_b 3.680
_cell_length_c 7.924
_cell_angle_alpha 90.00
_cell_angle_beta 90.00
_cell_angle_gamma 90.00
_symmetry_space_group_name_H-M 'P 4 m m'
_symmetry_Int_Tables_number 99
loop_
_symmetry_equiv_pos_as_xyz
'x,y,z'
'-y,x,z'
'-x,-y,z'
'y,-x,z'
'-x,y,z'
'y,x,z'
'x,-y,z'
'-y,-x,z'
loop_
_atom_site_label
_atom_site_type_symbol
_atom_site_fract_x
_atom_site_fract_y
_atom_site_fract_z
_atom_site_occupancy
Ba1 Ba 0.000 0.000 0.000 1
Tl1 Tl 0.500 0.500 0.328 1
Zn1 Zn 0.000 0.000 0.559 1
Zn2 Zn 0.500 0.500 0.700 1

=====

# BaTl3Zn | Alexandria via LeMat-Bulk | GGA-PBE | optimized geometry
# Energy above the lowest structure with this stoichiometry ... 41 meV per atom
# Spin magnetization ... 0.0 μB/cell
# Crystal system ... orthorhombic
# E_form ... -200 meV per atom
data_BaTl3Zn
_cell_length_a 9.882
_cell_length_b 5.001
_cell_length_c 12.320
_cell_angle_alpha 90.00
_cell_angle_beta 90.00
_cell_angle_gamma 90.00
_symmetry_space_group_name_H-M 'P n m a'
_symmetry_Int_Tables_number 62
loop_
_symmetry_equiv_pos_as_xyz
'x,y,z'
'-x,-y,-z'
'-x+1/2,-y,z+1/2'
'x+1/2,y,-z+1/2'
'x+1/2,-y+1/2,-z+1/2'
'-x+1/2,y+1/2,z+1/2'
'-x,y+1/2,-z'
'x,-y+1/2,z'
loop_
_atom_site_label
_atom_site_type_symbol
_atom_site_fract_x
_atom_site_fract_y
_atom_site_fract_z
_atom_site_occupancy
Ba1 Ba 0.197 0.250 0.006 1
Tl1 Tl 0.071 0.250 0.403 1
Tl2 Tl 0.123 0.750 0.802 1
Tl3 Tl 0.126 0.750 0.208 1
Zn1 Zn 0.093 0.250 0.642 1